No. 1
Entry from the Alexandria database: an optimized crystal structure of PPbS2N (PBE). Values from VASP.

* offset from the most stable computed form: 1.621 eV per atom
* magnetic moment: 4.5 μB/cell

Cell and atoms, written as Quantum ESPRESSO input:
```
&SYSTEM
  ibrav = 0, nat = 5, ntyp = 4
/
ATOMIC_SPECIES
N 14.01 N.upf
S 32.06 S.upf
Pb 207.20 Pb.upf
P 30.97 P.upf
CELL_PARAMETERS angstrom
-0.3018 2.4915 4.6616
1.9239 -4.2971 2.4212
5.0784 1.8898 -0.6813
ATOMIC_POSITIONS crystal
N 0.5000 0.5000 0.5000
S 0.0000 0.5000 0.0000
S 0.5000 0.0000 0.0000
Pb 0.0000 0.0000 0.0000
P 0.0000 0.0000 0.5000
```

=====

No. 2
Entry from the Alexandria database: an optimized crystal structure of TlInN (PBE). Values from VASP.

* offset from the most stable computed form: 0.000 eV per atom
* magnetic moment: 0.0 μB/cell

Cell and atoms, written as Quantum ESPRESSO input:
```
&SYSTEM
  ibrav = 0, nat = 12, ntyp = 3
/
ATOMIC_SPECIES
Tl 204.38 Tl.upf
In 114.82 In.upf
N 14.01 N.upf
CELL_PARAMETERS angstrom
3.3978 0.0000 0.0000
0.0000 10.5956 -3.2914
0.0000 -3.0837 13.2777
ATOMIC_POSITIONS crystal
Tl 0.7515 0.8672 0.6368
Tl 0.7485 0.3672 0.6368
Tl 0.2485 0.1328 0.3632
Tl 0.2515 0.6328 0.3632
In 0.2506 0.1060 0.6165
In 0.2494 0.6060 0.6165
In 0.7506 0.3940 0.3835
In 0.7494 0.8940 0.3835
N 0.9977 0.5207 0.9703
N 0.5023 0.0207 0.9703
N 0.4977 0.9793 0.0297
N 0.0023 0.4793 0.0297
```

=====

No. 3
Entry from the Alexandria database: an optimized crystal structure of Pr2YTmS6 (PBE). Values from VASP.

* energy: -65.6 eV per formula unit
* magnetic moment: 0.0 μB/cell

Cell and atoms, written as Quantum ESPRESSO input:
```
&SYSTEM
  ibrav = 0, nat = 10, ntyp = 4
/
ATOMIC_SPECIES
S 32.06 S.upf
Tm 168.93 Tm.upf
Y 88.91 Y.upf
Pr 140.91 Pr.upf
CELL_PARAMETERS angstrom
-3.5136 4.9223 3.6618
-5.8160 2.9538 -2.7264
-6.5695 -1.7821 2.9169
ATOMIC_POSITIONS crystal
S 0.1063 0.4383 0.7611
S 0.1970 0.9430 0.2586
S 0.6013 0.1970 0.2587
S 0.6943 0.1063 0.7611
S 0.4383 0.6943 0.7611
S 0.9431 0.6013 0.2587
Tm 0.3173 0.3172 0.0482
Y 0.8163 0.8164 0.5510
Pr 0.5242 0.5242 0.4274
Pr 0.0236 0.0236 0.9293
```